# TbEuScCd

A relaxed structure of TbEuScCd (PBE, the Alexandria database).

**Formation energy from the elements**: 2 meV/atom

Unit cell a=5.448 b=5.448 c=5.448 alpha=60.00 beta=60.00 gamma=60.00
Fractional positions:
Tb 0.000 0.000 0.000
Eu 0.500 0.500 0.500
Sc 0.250 0.250 0.250
Cd 0.750 0.750 0.750



# Mo2P2Pt

A relaxed structure of Mo2P2Pt (PBE, the Alexandria database).

**Energy relative to the lowest polymorph listed for this composition**: 14 meV per atom
**Formation energy from the elements**: -253 meV/atom

Unit cell a=5.318 b=5.318 c=5.318 alpha=133.36 beta=133.36 gamma=68.09
Fractional positions:
Mo 0.250 0.750 0.500
Mo 0.750 0.250 0.500
P 0.121 0.121 0.000
P 0.879 0.879 0.000
Pt 0.500 0.500 0.000



# Y2TmOs

A relaxed structure of Y2TmOs (PBE, the Alexandria database).

**Energy relative to the lowest polymorph listed for this composition**: 0 meV per atom
**Formation energy from the elements**: -259 meV/atom

Unit cell a=7.364 b=9.075 c=6.336 alpha=90.00 beta=90.00 gamma=90.00
Fractional positions:
Y 0.175 0.063 0.171
Y 0.175 0.437 0.171
Y 0.325 0.563 0.671
Y 0.325 0.937 0.671
Y 0.675 0.063 0.329
Y 0.675 0.437 0.329
Y 0.825 0.563 0.829
Y 0.825 0.937 0.829
Tm 0.041 0.250 0.632
Tm 0.459 0.750 0.132
Tm 0.541 0.250 0.868
Tm 0.959 0.750 0.368
Os 0.117 0.750 0.969
Os 0.383 0.250 0.469
Os 0.617 0.750 0.531
Os 0.883 0.250 0.031



# CaZn2Se

A relaxed structure of CaZn2Se (PBE, the Alexandria database).

**Uncorrected formation energy**: -0.631 eV/atom

Unit cell a=3.919 b=3.762 c=6.459 alpha=90.00 beta=107.25 gamma=90.00
Fractional positions:
Ca 0.000 0.000 0.000
Zn 0.248 0.000 0.484
Zn 0.692 0.500 0.372
Se 0.421 0.500 0.839



# Th2CdPdPt5

A relaxed structure of Th2CdPdPt5 (PBE, the Alexandria database).

**Formation energy from the elements**: -400 meV/atom

Unit cell a=8.112 b=8.112 c=8.112 alpha=115.58 beta=115.58 gamma=97.84
Fractional positions:
Th 0.134 0.634 0.768
Th 0.366 0.134 0.500
Th 0.634 0.866 0.500
Th 0.866 0.366 0.232
Cd 0.250 0.250 0.000
Cd 0.750 0.750 0.000
Pd 0.250 0.750 0.500
Pd 0.750 0.250 0.500
Pt 0.000 0.000 0.000
Pt 0.049 0.168 0.500
Pt 0.168 0.668 0.118
Pt 0.332 0.451 0.500
Pt 0.451 0.951 0.118
Pt 0.500 0.500 0.000
Pt 0.549 0.049 0.882
Pt 0.668 0.549 0.500
Pt 0.832 0.332 0.882
Pt 0.951 0.832 0.500



# NaTcSbO2

A relaxed structure of NaTcSbO2 (PBE, the Alexandria database).

**Uncorrected formation energy**: -0.271 eV/atom

Unit cell a=3.855 b=3.855 c=6.507 alpha=90.00 beta=90.00 gamma=90.00
Fractional positions:
Na 0.000 0.000 0.000
Tc 0.000 0.000 0.500
Sb 0.500 0.500 0.000
O 0.000 0.500 0.500
O 0.500 0.000 0.500



# Li2AcCdAg

A relaxed structure of Li2AcCdAg (PBE, the Alexandria database).

**Formation energy from the elements**: -174 meV/atom

Unit cell a=7.008 b=7.008 c=7.008 alpha=144.77 beta=141.52 gamma=53.15
Fractional positions:
Li 0.000 0.000 0.000
Li 0.854 0.354 0.500
Ac 0.234 0.734 0.500
Cd 0.477 0.477 0.000
Ag 0.636 0.136 0.500



# Zn2NiBi

A relaxed structure of Zn2NiBi (PBE, the Alexandria database).

**Formation energy from the elements**: 176 meV/atom

Unit cell a=9.444 b=9.444 c=9.444 alpha=154.64 beta=154.64 gamma=36.17
Fractional positions:
Zn 0.039 0.625 0.914
Zn 0.375 0.289 0.414
Zn 0.711 0.125 0.086
Zn 0.875 0.961 0.586
Ni 0.000 0.000 0.000
Ni 0.750 0.250 0.500
Bi 0.250 0.750 0.500
Bi 0.500 0.500 0.000



# Tb5AlGa2

A relaxed structure of Tb5AlGa2 (PBE, the Alexandria database).

**Formation energy from the elements**: -423 meV/atom

Unit cell a=9.015 b=9.015 c=9.015 alpha=129.53 beta=129.53 gamma=74.16
Fractional positions:
Tb 0.000 0.000 0.000
Tb 0.024 0.524 0.842
Tb 0.182 0.024 0.500
Tb 0.318 0.818 0.842
Tb 0.476 0.318 0.500
Tb 0.500 0.500 0.000
Tb 0.524 0.682 0.500
Tb 0.682 0.182 0.158
Tb 0.818 0.976 0.500
Tb 0.976 0.476 0.158
Al 0.250 0.250 0.000
Al 0.750 0.750 0.000
Ga 0.121 0.379 0.500
Ga 0.379 0.879 0.258
Ga 0.621 0.121 0.742
Ga 0.879 0.621 0.500



# YFeSb2I

A relaxed structure of YFeSb2I (PBE, the Alexandria database).

**Energy relative to the lowest polymorph listed for this composition**: 612 meV per atom
**Uncorrected formation energy**: 0.714 eV/atom

Unit cell a=5.863 b=5.863 c=5.850 alpha=90.00 beta=90.00 gamma=90.00
Fractional positions:
Y 0.000 0.000 0.000
Fe 0.500 0.500 0.500
Sb 0.000 0.500 0.000
Sb 0.500 0.000 0.000
I 0.000 0.000 0.500



# SbP2IO

A relaxed structure of SbP2IO (PBE, the Alexandria database).

**Energy relative to the lowest polymorph listed for this composition**: 0 meV per atom
**Uncorrected formation energy**: 0.453 eV/atom

Unit cell a=5.211 b=5.211 c=4.005 alpha=90.00 beta=90.00 gamma=90.00
Fractional positions:
Sb 0.000 0.000 0.000
P 0.000 0.500 0.000
P 0.500 0.000 0.000
I 0.500 0.500 0.500
O 0.000 0.000 0.500



# Ca3GaAg8

A relaxed structure of Ca3GaAg8 (PBE, the Alexandria database).

**Formation energy from the elements**: -208 meV/atom

Unit cell a=9.929 b=9.929 c=9.929 alpha=33.13 beta=33.13 gamma=33.13
Fractional positions:
Ca 0.000 0.000 0.000
Ca 0.130 0.130 0.130
Ca 0.610 0.610 0.610
Ga 0.489 0.489 0.489
Ag 0.058 0.058 0.562
Ag 0.058 0.562 0.058
Ag 0.060 0.560 0.560
Ag 0.310 0.310 0.310
Ag 0.560 0.060 0.560
Ag 0.560 0.560 0.060
Ag 0.562 0.058 0.058
Ag 0.810 0.810 0.810



What did we get for raw total energy? Answer: -22.1 -39.8 -29.7 -10.6 -54.8 -27.1 -12.6 -11.5 -36.3 -21.2 -19.2 -34.3 eV/f.u., in the order shown.
What did we get for V? Answer: 28.578 15.621 26.463 22.737 22.147 19.340 24.550 19.292 26.565 40.218 21.750 21.682 Å³ per atom, in the order shown.